1.
VASP calculation (PBE-GGA) on a geometry-optimized Ba3BeV structure.

## Properties
D(E_F) in states/eV per cell: 8.737
SG: Pm-3m, No. 221
Energy relative to the lowest polymorph listed for this composition in eV/atom: 0.000

Cell: 6.136 6.136 6.136 Å, 90.00 90.00 90.00°
Fractional positions:
Ba1 0.000 0.000 0.500
Ba2 0.000 0.500 0.000
Ba3 0.500 0.000 0.000
Be1 0.000 0.000 0.000
V1 0.500 0.500 0.500

---

2.
VASP calculation (PBE-GGA) on a geometry-optimized BaBe2V structure.

## Properties
D(E_F) in states/eV per cell: 6.404
SG: I4_1/amd, No. 141
Energy relative to the lowest polymorph listed for this composition in eV/atom: 0.000

Cell: 9.293 9.293 9.293 Å, 151.21 151.21 41.17°
Fractional positions:
Ba1 0.375 0.625 0.750
Ba2 0.625 0.375 0.250
Be1 0.000 0.000 0.000
Be2 0.000 0.000 0.500
Be3 0.000 0.500 0.000
Be4 0.500 0.000 0.500
V1 0.125 0.875 0.250
V2 0.875 0.125 0.750

---

no.,E_form (meV per atom)
1,899
2,814